# LaGdPd2

A relaxed LaGdPd2 crystal (PBE, Alexandria via LeMat-Bulk).

Properties
* distance to the lowest polymorph of the same formula: 47 meV per atom
* size of the total moment: 7.1 μB/f.u.
* volume: 104.5 Å³ per cell
* space-group type: No. 166
* formation energy from the elements: -0.740 eV per atom

abc: 4.1995 4.1995 7.2601
angles: 73.19 73.19 60.00
Closest atoms and distances in Å follow each position.
Sites, in units of the cell vectors:
1 Gd 0.0000 0.0000 0.0000  6 Pd 2.93
2 Pd 0.7468 0.7468 0.7597  3 Gd 2.93, 3 La 3.01
3 Pd 0.2532 0.2532 0.2403  3 Gd 2.93, 3 La 3.01
4 La 0.5000 0.5000 0.5000  6 Pd 3.01